This record from the Alexandria database describes an optimized crystal structure of TaVAu. The functional is PBE.

Lattice parameters (Å, degrees): 4.9007 4.9134 5.1801 96.62 109.08 116.89
Positions (direct):
1 Ta 0.0432 0.4319 0.2532
2 Ta 0.9568 0.5681 0.7468
3 V 0.2917 0.2511 0.7635
4 V 0.7083 0.7489 0.2365
5 Au 0.3765 0.0942 0.2623
6 Au 0.6235 0.9058 0.7377

Output
The crystal system is triclinic. The value obtained for the total magnetic moment is 0.0 μB/f.u. The space group is P-1. As for the energy relative to the elements: 103 meV per atom.



This record from the Alexandria database describes an optimized crystal structure of Er2PuPaC4. The functional is PBE.

Lattice parameters (Å, degrees): 6.0966 3.5931 6.1856 90.00 109.36 90.00
Positions (direct):
1 Er 0.0000 0.0000 0.0000
2 Er 0.0000 0.5000 0.5000
3 Pu 0.5000 0.0000 0.5000
4 Pa 0.5000 0.5000 0.0000
5 C 0.2723 0.5000 0.2594
6 C 0.2735 0.0000 0.7498
7 C 0.7265 0.0000 0.2502
8 C 0.7277 0.5000 0.7406

Output
The crystal system is monoclinic. The value obtained for the total magnetic moment is 3.0 μB/f.u. The space group is P2/m. As for the energy relative to the elements: -238 meV per atom.



This record from the Alexandria database describes an optimized crystal structure of Tb5Nd2Er. The functional is PBE.

Lattice parameters (Å, degrees): 7.1687 14.3406 5.0608 90.00 90.00 90.00
Positions (direct):
1 Tb 0.0000 0.0000 0.0000
2 Tb 0.0014 0.2503 0.0000
3 Tb 0.2487 0.8751 0.5000
4 Tb 0.2513 0.3751 0.5000
5 Tb 0.4986 0.7503 0.0000
6 Tb 0.5000 0.5000 0.0000
7 Tb 0.5014 0.2497 0.0000
8 Tb 0.7487 0.6249 0.5000
9 Tb 0.7513 0.1249 0.5000
10 Tb 0.9986 0.7497 0.0000
11 Nd 0.2488 0.6247 0.5000
12 Nd 0.2512 0.1247 0.5000
13 Nd 0.7488 0.8753 0.5000
14 Nd 0.7512 0.3753 0.5000
15 Er 0.0000 0.5000 0.0000
16 Er 0.5000 0.0000 0.0000

Output
The crystal system is orthorhombic. The value obtained for the total magnetic moment is 0.0 μB/f.u. The space group is Pbam. As for the energy relative to the elements: 17 meV per atom.



This record from the Alexandria database describes an optimized crystal structure of Mg2Zr6Sc3. The functional is PBE.

Lattice parameters (Å, degrees): 8.0433 8.0433 5.0662 90.00 90.00 120.00
Positions (direct):
1 Mg 0.3333 0.6667 0.0000
2 Mg 0.6667 0.3333 0.0000
3 Zr 0.0000 0.2257 0.0000
4 Zr 0.0000 0.7918 0.5000
5 Zr 0.2082 0.2082 0.5000
6 Zr 0.2257 0.0000 0.0000
7 Zr 0.7743 0.7743 0.0000
8 Zr 0.7918 0.0000 0.5000
9 Sc 0.0000 0.4421 0.5000
10 Sc 0.4421 0.0000 0.5000
11 Sc 0.5579 0.5579 0.5000

Output
The crystal system is hexagonal. The value obtained for the total magnetic moment is 0.0 μB/f.u. The space group is P-62m. As for the energy relative to the elements: 434 meV per atom.



This record from the Alexandria database describes an optimized crystal structure of TcSe2BrF. The functional is PBE.

Lattice parameters (Å, degrees): 4.7676 4.7676 5.1401 90.00 90.00 90.00
Positions (direct):
1 Tc 0.0000 0.0000 0.0000
2 Se 0.0000 0.5000 0.0000
3 Se 0.5000 0.0000 0.0000
4 Br 0.0000 0.0000 0.5000
5 F 0.5000 0.5000 0.5000

Output
The crystal system is tetragonal. The value obtained for the total magnetic moment is 0.0 μB/f.u. The space group is P4/mmm. The calculation puts the formation energy (no corrections) at 80 meV/atom.



This record from the Alexandria database describes an optimized crystal structure of TeWBr2. The functional is PBE.

Lattice parameters (Å, degrees): 6.7941 3.4251 6.9981 90.00 118.57 90.00
Positions (direct):
1 Te 0.0000 0.0000 0.0000
2 W 0.0166 0.5000 0.7225
3 Br 0.2957 0.0000 0.7189
4 Br 0.6530 0.5000 0.4052

Output
The crystal system is monoclinic. The value obtained for the total magnetic moment is 0.0 μB/f.u. The space group is Pm. The calculation puts the formation energy (no corrections) at -54 meV/atom.



This record from the Alexandria database describes an optimized crystal structure of ErZrSc4. The functional is PBE.

Lattice parameters (Å, degrees): 7.7985 7.7985 5.9960 100.20 100.20 116.20
Positions (direct):
1 Er 0.0863 0.9137 0.7500
2 Er 0.9137 0.0863 0.2500
3 Zr 0.4968 0.5032 0.2500
4 Zr 0.5032 0.4968 0.7500
5 Sc 0.0816 0.3406 0.8748
6 Sc 0.2164 0.5952 0.4668
7 Sc 0.3406 0.0816 0.3748
8 Sc 0.4048 0.7836 0.0332
9 Sc 0.5952 0.2164 0.9668
10 Sc 0.6594 0.9184 0.6252
11 Sc 0.7836 0.4048 0.5332
12 Sc 0.9184 0.6594 0.1252

Output
The crystal system is monoclinic. The value obtained for the total magnetic moment is 0.0 μB/f.u. The space group is C2/c. As for the energy relative to the elements: 110 meV per atom.



This record from the Alexandria database describes an optimized crystal structure of KLa2V. The functional is PBE.

Lattice parameters (Å, degrees): 5.7109 5.7109 5.7109 60.00 60.00 60.00
Positions (direct):
1 K 0.0000 0.0000 0.0000
2 La 0.2500 0.2500 0.2500
3 La 0.7500 0.7500 0.7500
4 V 0.5000 0.5000 0.5000

Output
The crystal system is cubic. The value obtained for the total magnetic moment is 3.9 μB/f.u. The space group is Fm-3m. As for the energy relative to the elements: 717 meV per atom.



This record from the Alexandria database describes an optimized crystal structure of LiSmIr. The functional is PBE.

Lattice parameters (Å, degrees): 5.2125 5.2125 5.2125 139.73 139.73 58.27
Positions (direct):
1 Li 0.0000 0.0000 0.0000
2 Sm 0.2973 0.2973 0.0000
3 Ir 0.6335 0.6335 0.0000

Output
The crystal system is tetragonal. The value obtained for the total magnetic moment is 0.0 μB/f.u. The space group is I4mm. As for the energy relative to the elements: -260 meV per atom.



This record from the Alexandria database describes an optimized crystal structure of Tl2CoAsRh. The functional is PBE.

Lattice parameters (Å, degrees): 5.4024 5.4024 4.2780 90.00 90.00 90.00
Positions (direct):
1 Tl 0.0000 0.5000 0.0000
2 Tl 0.5000 0.0000 0.0000
3 Co 0.0000 0.0000 0.5000
4 As 0.0000 0.0000 0.0000
5 Rh 0.5000 0.5000 0.5000

Output
The crystal system is tetragonal. The value obtained for the total magnetic moment is 2.3 μB/f.u. The space group is P4/mmm. As for the energy relative to the elements: 968 meV per atom.



This record from the Alexandria database describes an optimized crystal structure of NaAgBiO4. The functional is PBE.

Lattice parameters (Å, degrees): 6.9637 6.9637 6.9637 124.48 123.86 82.91
Positions (direct):
1 Na 0.4034 0.1534 0.2500
2 Na 0.5966 0.8466 0.7500
3 Ag 0.0000 0.0000 0.5000
4 Ag 0.0000 0.5000 0.0000
5 Bi 0.0000 0.5000 0.5000
6 Bi 0.5000 0.5000 0.0000
7 O 0.1745 0.7065 0.4680
8 O 0.2615 0.2935 0.9680
9 O 0.2628 0.2919 0.5291
10 O 0.2628 0.7337 0.9709
11 O 0.7372 0.2663 0.0291
12 O 0.7372 0.7081 0.4709
13 O 0.7385 0.7065 0.0320
14 O 0.8255 0.2935 0.5320

Output
The crystal system is orthorhombic. The value obtained for the total magnetic moment is 0.8 μB/f.u. The space group is Imma. The calculation puts the formation energy (no corrections) at -809 meV/atom.



This record from the Alexandria database describes an optimized crystal structure of Ce2Y3Ru4. The functional is PBE.

Lattice parameters (Å, degrees): 5.7471 5.7471 9.0317 98.61 98.61 43.66
Positions (direct):
1 Ce 0.1765 0.1765 0.2840
2 Ce 0.8235 0.8235 0.7160
3 Y 0.1242 0.1242 0.8911
4 Y 0.5000 0.5000 0.5000
5 Y 0.8758 0.8758 0.1089
6 Ru 0.2121 0.2121 0.5987
7 Ru 0.4091 0.4091 0.8718
8 Ru 0.5909 0.5909 0.1282
9 Ru 0.7879 0.7879 0.4013

Output
The crystal system is monoclinic. The value obtained for the total magnetic moment is 0.0 μB/f.u. The space group is C2/m. As for the energy relative to the elements: -370 meV per atom.



Please write out number 12 again, unchanged.
This record from the Alexandria database describes an optimized crystal structure of Ce2Y3Ru4. The functional is PBE.

Lattice parameters (Å, degrees): 5.7471 5.7471 9.0317 98.61 98.61 43.66
Positions (direct):
1 Ce 0.1765 0.1765 0.2840
2 Ce 0.8235 0.8235 0.7160
3 Y 0.1242 0.1242 0.8911
4 Y 0.5000 0.5000 0.5000
5 Y 0.8758 0.8758 0.1089
6 Ru 0.2121 0.2121 0.5987
7 Ru 0.4091 0.4091 0.8718
8 Ru 0.5909 0.5909 0.1282
9 Ru 0.7879 0.7879 0.4013

Output
The crystal system is monoclinic. The value obtained for the total magnetic moment is 0.0 μB/f.u. The space group is C2/m. As for the energy relative to the elements: -370 meV per atom.